Cd2HgCl | meta-GGA SCAN | single point on PBEsol structure

## Properties
Energy relative to the elements, uncorrected ... -0.2557 eV/atom
Calculated total energy ... -34.499 eV per atom
E above lowest polymorph ... 8 meV/atom
Space-group type ... Imm2

Cell: 3.3718 5.8759 5.8759 Å, 54.81 73.33 73.33°
Closest atoms and distances in Å follow each position.
Atoms (fractional coordinates):
Cd 0.0132 0.9868 0.9868  2 Cd 2.89, 2 Hg 3.00, 4 Cl 3.21
Cd 0.7511 0.7489 0.7489  2 Cl 2.77, 2 Cd 2.89
Cl 0.4741 0.5259 0.5259  2 Cd 2.77
Hg 0.2616 0.2384 0.2384  6 Cd 3.00-3.19, 2 Cl 3.30


CdHgCl2 | meta-GGA SCAN | single point on PBEsol structure

## Properties
Energy relative to the elements, uncorrected ... -0.2684 eV/atom
Calculated total energy ... -28.902 eV per atom
E above lowest polymorph ... 636 meV/atom
Space-group type ... F-43m

Cell: 4.9491 4.9491 4.9491 Å, 60.00 60.00 60.00°
Closest atoms and distances in Å follow each position.
Atoms (fractional coordinates):
Cd 0.5000 0.5000 0.5000  4 Hg 3.03, 4 Cl 3.03
Hg 0.7500 0.7500 0.7500  4 Cl 3.03, 4 Cd 3.03
Cl 0.0000 0.0000 0.0000  4 Cl 3.03, 4 Hg 3.03
Cl 0.2500 0.2500 0.2500  4 Cd 3.03, 4 Cl 3.03


Cd2HgCl | meta-GGA SCAN | single point on PBEsol structure

## Properties
Energy relative to the elements, uncorrected ... -0.2137 eV/atom
Calculated total energy ... -34.457 eV per atom
E above lowest polymorph ... 50 meV/atom
Space-group type ... I-4m2

Cell: 4.1151 4.1151 6.1757 Å, 109.46 109.46 90.00°
Closest atoms and distances in Å follow each position.
Atoms (fractional coordinates):
Cl 0.5000 0.5000 0.0000  4 Cd 2.91
Cd 0.0000 0.0000 0.0000  4 Cl 2.91
Cd 0.7500 0.2500 0.5000  4 Hg 2.91
Hg 0.2500 0.7500 0.5000  4 Cd 2.91


NbCd2HgCl | meta-GGA SCAN | single point on PBEsol structure

## Properties
Energy relative to the elements, uncorrected ... 0.6202 eV/atom
Calculated total energy ... -33.400 eV per atom
Space-group type ... P4/mmm

Cell: 5.1836 5.1836 5.4078 Å, 90.00 90.00 90.00°
Closest atoms and distances in Å follow each position.
Atoms (fractional coordinates):
Cd 0.5000 0.0000 0.0000  2 Hg 2.59
Cd 0.0000 0.5000 0.0000  2 Hg 2.59
Cl 0.5000 0.5000 0.5000  4 Nb 3.67, 8 Cd 3.75
Nb 0.0000 0.0000 0.5000  2 Hg 2.70
Hg 0.0000 0.0000 0.0000  4 Cd 2.59, 2 Nb 2.70


CdI3Cl | meta-GGA SCAN | single point on PBEsol structure

## Properties
Energy relative to the elements, uncorrected ... 0.3593 eV/atom
Calculated total energy ... -29.364 eV per atom
Space-group type ... Pm-3m

Cell: 5.6165 5.6165 5.6165 Å, 90.00 90.00 90.00°
Closest atoms and distances in Å follow each position.
Atoms (fractional coordinates):
I 0.5000 0.0000 0.0000  2 Cl 2.81
I 0.0000 0.0000 0.5000  2 Cl 2.81
I 0.0000 0.5000 0.0000  2 Cl 2.81
Cd 0.5000 0.5000 0.5000  12 I 3.97
Cl 0.0000 0.0000 0.0000  6 I 2.81


CdIN2Cl | meta-GGA SCAN | single point on PBEsol structure

## Properties
Energy relative to the elements, uncorrected ... 1.4446 eV/atom
Calculated total energy ... -17.299 eV per atom
E above lowest polymorph ... 0 meV/atom
Space-group type ... P4/mmm

Cell: 4.3264 4.3264 6.3267 Å, 90.00 90.00 90.00°
Closest atoms and distances in Å follow each position.
Atoms (fractional coordinates):
I 0.0000 0.0000 0.5000  4 Cl 3.06, 2 Cd 3.16
N 0.0000 0.5000 0.0000  2 Cd 2.16
N 0.5000 0.0000 0.0000  2 Cd 2.16
Cl 0.5000 0.5000 0.5000  4 I 3.06
Cd 0.0000 0.0000 0.0000  4 N 2.16